# 1
MoAsW: relaxed, GGA-PBEsol.

Properties
E_form	513.3	meV/atom
total moment	0.0	μB/cell
offset from the most stable computed form	0.260	eV/atom
symmetry	F-43m (216)
electronic total energy	-29.142	eV for the cell shown

```
MoAsW
1.0
-1.472 -0.359 3.939
2.582 -1.196 3.117
1.172 2.779 2.952
Mo As W
1 1 1
Direct
0.750 0.750 0.750
0.500 0.500 0.500
0.000 0.000 0.000
```

***

# 2
TlSb2H: relaxed, GGA-PBEsol.

Properties
total moment	0.0	μB/cell
symmetry	Fm-3m (225)
electronic total energy	-12.599	eV for the cell shown

```
TlSb2H
1.0
4.995 0.000 0.000
2.497 4.325 0.000
2.497 1.442 4.078
Sb Tl H
2 1 1
Direct
0.250 0.250 0.250
0.750 0.750 0.750
0.500 0.500 0.500
0.000 0.000 0.000
```

***

# 3
Ti2MnTc: relaxed, GGA-PBEsol.

Properties
E_form	-337.9	meV/atom
total moment	0.0	μB/cell
symmetry	Fm-3m (225)
electronic total energy	-39.024	eV for the cell shown

```
Ti2MnTc
1.0
-1.210 1.087 -3.927
-4.119 -0.061 -1.048
-2.083 3.648 -0.649
Mn Tc Ti
1 1 2
Direct
0.000 0.000 0.000
0.500 0.500 0.500
0.250 0.250 0.250
0.750 0.750 0.750
```